Entry 1:
Density functional theory data (SCAN) for SrRuO2 at its PBEsol-relaxed geometry.

abc: 3.4154 3.4154 17.7540
angles: 90.00 90.00 120.00
Element x y z (fractional)
Sr 0.0000 0.0000 0.0000
Sr 0.3333 0.6667 0.6667
Sr 0.6667 0.3333 0.3333
Ru 0.0000 0.0000 0.5000
Ru 0.3333 0.6667 0.1667
Ru 0.6667 0.3333 0.8333
O 0.0000 0.0000 0.1288
O 0.0000 0.0000 0.8712
O 0.3333 0.6667 0.5379
O 0.3333 0.6667 0.7955
O 0.6667 0.3333 0.2045
O 0.6667 0.3333 0.4621

Values from the calculation:
As for the total energy: -220.789 eV/cell. As for the raw formation energy: -1.0081 eV/atom. Its space group is R-3m (166).

***

Entry 2:
Density functional theory data (SCAN) for Zn2IrPb at its PBEsol-relaxed geometry.

abc: 3.1224 3.1209 7.2896
angles: 90.00 90.63 90.00
Element x y z (fractional)
Zn 0.0045 0.0000 0.1857
Zn 0.9955 0.0000 0.8143
Ir 0.5000 0.5000 0.0000
Pb 0.5000 0.5000 0.5000

Values from the calculation:
As for the total energy: -173.644 eV/cell. Its space group is P2/m (10).

***

Entry 3:
Density functional theory data (SCAN) for Cr2HSe at its PBEsol-relaxed geometry.

abc: 5.6560 5.6560 5.6560
angles: 90.00 90.00 90.00
Element x y z (fractional)
Cr 0.2500 0.2500 0.2500
Cr 0.2500 0.2500 0.7500
Cr 0.2500 0.7500 0.2500
Cr 0.2500 0.7500 0.7500
Cr 0.7500 0.2500 0.2500
Cr 0.7500 0.2500 0.7500
Cr 0.7500 0.7500 0.2500
Cr 0.7500 0.7500 0.7500
H 0.0000 0.0000 0.0000
H 0.0000 0.5000 0.5000
H 0.5000 0.0000 0.5000
H 0.5000 0.5000 0.0000
Se 0.0000 0.0000 0.5000
Se 0.0000 0.5000 0.0000
Se 0.5000 0.0000 0.0000
Se 0.5000 0.5000 0.5000

Values from the calculation:
As for the total energy: -236.354 eV/cell. Its space group is Fm-3m (225).

***

Entry 4:
Density functional theory data (SCAN) for Mg3Tc at its PBEsol-relaxed geometry.

abc: 2.8004 4.7447 5.3036
angles: 90.00 90.00 90.00
Element x y z (fractional)
Mg 0.0000 0.0000 0.0000
Mg 0.0000 0.5000 0.3188
Mg 0.5000 0.0000 0.5364
Tc 0.5000 0.5000 0.8173

Values from the calculation:
As for the total energy: -49.172 eV/cell. Its space group is Pmm2 (25).

***

Entry 5:
Density functional theory data (SCAN) for CsLi2BeGa at its PBEsol-relaxed geometry.

abc: 5.2319 5.2319 4.3375
angles: 90.00 90.00 90.00
Element x y z (fractional)
Cs 0.0000 0.0000 0.0000
Li 0.0000 0.5000 0.5000
Li 0.5000 0.0000 0.5000
Be 0.5000 0.5000 0.5000
Ga 0.5000 0.5000 0.0000

Values from the calculation:
As for the total energy: -62.418 eV/cell. Its space group is P4/mmm (123).

***

Entry 6:
Density functional theory data (SCAN) for BaOsBr2 at its PBEsol-relaxed geometry.

abc: 3.9685 3.9685 26.1085
angles: 90.00 90.00 120.00
Element x y z (fractional)
Ba 0.0000 0.0000 0.0000
Ba 0.3333 0.6667 0.6667
Ba 0.6667 0.3333 0.3333
Os 0.0000 0.0000 0.5000
Os 0.3333 0.6667 0.1667
Os 0.6667 0.3333 0.8333
Br 0.0000 0.0000 0.1232
Br 0.0000 0.0000 0.8768
Br 0.3333 0.6667 0.5435
Br 0.3333 0.6667 0.7899
Br 0.6667 0.3333 0.2101
Br 0.6667 0.3333 0.4565

Values from the calculation:
The excess energy over the best structure of this formula in the dataset is 561.0 meV per atom. As for the total energy: -446.904 eV/cell. As for the raw formation energy: 0.3453 eV/atom. Its space group is R-3m (166).

***

Entry 7:
Density functional theory data (SCAN) for Sc2TaTe at its PBEsol-relaxed geometry.

abc: 10.0259 3.3506 5.0639
angles: 90.00 103.00 90.00
Element x y z (fractional)
Sc 0.0000 0.0000 0.0000
Sc 0.2309 0.0000 0.7300
Sc 0.5000 0.5000 0.0000
Sc 0.7309 0.5000 0.7300
Ta 0.2544 0.5000 0.2553
Ta 0.7544 0.0000 0.2553
Te 0.4841 0.0000 0.4764
Te 0.9841 0.5000 0.4764

Values from the calculation:
The excess energy over the best structure of this formula in the dataset is 0.0 meV per atom. As for the total energy: -265.904 eV/cell. As for the raw formation energy: -0.1608 eV/atom. Its space group is Cm (8).

***

Entry 8:
Density functional theory data (SCAN) for BaAs2Pb at its PBEsol-relaxed geometry.

abc: 4.5086 4.5086 10.6043
angles: 90.00 90.00 90.00
Element x y z (fractional)
Ba 0.0000 0.0000 0.0000
Ba 0.5000 0.5000 0.5000
As 0.0000 0.0000 0.5000
As 0.0000 0.5000 0.7500
As 0.5000 0.0000 0.2500
As 0.5000 0.5000 0.0000
Pb 0.0000 0.5000 0.2500
Pb 0.5000 0.0000 0.7500

Values from the calculation:
As for the total energy: -313.590 eV/cell. Its space group is I-4m2 (119).

***

Entry 9:
Density functional theory data (SCAN) for LaSiS2N at its PBEsol-relaxed geometry.

abc: 4.7825 4.7825 3.5147
angles: 90.00 90.00 90.00
Element x y z (fractional)
La 0.0000 0.0000 0.0000
Si 0.5000 0.5000 0.5000
S 0.0000 0.5000 0.5000
S 0.5000 0.0000 0.5000
N 0.5000 0.5000 0.0000

Values from the calculation:
As for the total energy: -87.120 eV/cell. As for the raw formation energy: -1.0903 eV/atom. Its space group is P4/mmm (123).

***

Entry 10:
Density functional theory data (SCAN) for SrAl3Cr at its PBEsol-relaxed geometry.

abc: 4.7301 4.7301 4.7301
angles: 90.00 90.00 90.00
Element x y z (fractional)
Sr 0.0000 0.0000 0.0000
Al 0.0000 0.5000 0.5000
Al 0.5000 0.0000 0.5000
Al 0.5000 0.5000 0.0000
Cr 0.5000 0.5000 0.5000

Values from the calculation:
As for the total energy: -64.041 eV/cell. Its space group is Pm-3m (221).

***

Entry 11:
Density functional theory data (SCAN) for KSeI2O at its PBEsol-relaxed geometry.

abc: 6.1385 6.1385 4.4579
angles: 90.00 90.00 90.00
Element x y z (fractional)
K 0.0000 0.0000 0.0000
Se 0.5000 0.5000 0.5000
I 0.0000 0.5000 0.0000
I 0.5000 0.0000 0.0000
O 0.0000 0.0000 0.5000

Values from the calculation:
As for the total energy: -105.318 eV/cell. As for the raw formation energy: 0.5607 eV/atom. Its space group is P4/mmm (123).

***

Entry 12:
Density functional theory data (SCAN) for Ni5SbP6O24 at its PBEsol-relaxed geometry.

abc: 8.3095 8.3095 8.3095
angles: 61.12 61.12 61.12
Element x y z (fractional)
Ni 0.0000 0.0000 0.0000
Ni 0.1366 0.1366 0.1366
Ni 0.3553 0.3553 0.3553
Ni 0.4949 0.4949 0.4949
Ni 0.6351 0.6351 0.6351
Sb 0.8548 0.8548 0.8548
P 0.0405 0.4463 0.7436
P 0.2552 0.9530 0.5287
P 0.4463 0.7436 0.0405
P 0.5287 0.2552 0.9530
P 0.7436 0.0405 0.4463
P 0.9530 0.5287 0.2552
O 0.0061 0.6051 0.8162
O 0.0466 0.2503 0.9150
O 0.0850 0.9416 0.7381
O 0.1072 0.5018 0.3186
O 0.1885 0.9790 0.3744
O 0.2445 0.4328 0.5897
O 0.2503 0.9150 0.0466
O 0.3186 0.1072 0.5018
O 0.3744 0.1885 0.9790
O 0.4072 0.7439 0.5572
O 0.4328 0.5897 0.2445
O 0.4873 0.6802 0.8789
O 0.5018 0.3186 0.1072
O 0.5572 0.4072 0.7439
O 0.5897 0.2445 0.4328
O 0.6051 0.8162 0.0061
O 0.6802 0.8789 0.4873
O 0.7381 0.0850 0.9416
O 0.7439 0.5572 0.4072
O 0.8162 0.0061 0.6051
O 0.8789 0.4873 0.6802
O 0.9150 0.0466 0.2503
O 0.9416 0.7381 0.0850
O 0.9789 0.3744 0.1885

Values from the calculation:
As for the total energy: -398.649 eV/cell. As for the raw formation energy: -1.9050 eV/atom. Its space group is R3 (146).

***

Entry 13:
Density functional theory data (SCAN) for FeIrPb2 at its PBEsol-relaxed geometry.

abc: 4.7030 4.7030 6.6359
angles: 90.00 90.00 90.00
Element x y z (fractional)
Fe 0.0000 0.0000 0.0000
Fe 0.5000 0.5000 0.5000
Ir 0.0000 0.0000 0.5000
Ir 0.5000 0.5000 0.0000
Pb 0.0000 0.5000 0.2500
Pb 0.0000 0.5000 0.7500
Pb 0.5000 0.0000 0.2500
Pb 0.5000 0.0000 0.7500

Values from the calculation:
The excess energy over the best structure of this formula in the dataset is 301.3 meV per atom. As for the total energy: -476.528 eV/cell. Its space group is I4/mmm (139).

***

Entry 14:
Density functional theory data (SCAN) for Zn2Tc at its PBEsol-relaxed geometry.

abc: 9.8751 2.7212 6.3444
angles: 90.00 105.10 90.00
Element x y z (fractional)
Zn 0.0000 0.0000 0.0000
Zn 0.0449 0.0000 0.6095
Zn 0.2216 0.5000 0.9493
Zn 0.3910 0.0000 0.2744
Zn 0.5000 0.5000 0.0000
Zn 0.5449 0.5000 0.6095
Zn 0.7216 0.0000 0.9493
Zn 0.8910 0.5000 0.2744
Tc 0.1694 0.5000 0.3409
Tc 0.3232 0.0000 0.6628
Tc 0.6694 0.0000 0.3409
Tc 0.8232 0.5000 0.6628

Values from the calculation:
As for the total energy: -248.092 eV/cell. Its space group is Cm (8).

***

Entry 15:
Density functional theory data (SCAN) for MgCoP at its PBEsol-relaxed geometry.

abc: 3.7225 3.7225 5.8819
angles: 90.00 90.00 90.00
Element x y z (fractional)
Mg 0.2500 0.2500 0.1651
Mg 0.7500 0.7500 0.8349
Co 0.2500 0.7500 0.5000
Co 0.7500 0.2500 0.5000
P 0.2500 0.2500 0.7151
P 0.7500 0.7500 0.2849

Values from the calculation:
As for the total energy: -68.739 eV/cell. Its space group is P4/nmm (129).

***

Entry 16:
Density functional theory data (SCAN) for ZnIr2Pb at its PBEsol-relaxed geometry.

abc: 2.9233 2.9233 8.2127
angles: 90.00 90.00 90.00
Element x y z (fractional)
Zn 0.0000 0.0000 0.0000
Ir 0.0000 0.0000 0.4014
Ir 0.5000 0.5000 0.1908
Pb 0.5000 0.5000 0.6622

Values from the calculation:
The excess energy over the best structure of this formula in the dataset is 0.0 meV per atom. As for the total energy: -230.124 eV/cell. Its space group is P4mm (99).

***

Entry 17:
Density functional theory data (SCAN) for MnBe2Ru at its PBEsol-relaxed geometry.

abc: 3.7679 3.7679 2.8750
angles: 90.00 90.00 90.00
Element x y z (fractional)
Mn 0.0000 0.0000 0.0000
Be 0.0000 0.5000 0.5000
Be 0.5000 0.0000 0.5000
Ru 0.5000 0.5000 0.0000

Values from the calculation:
As for the total energy: -63.258 eV/cell. Its space group is P4/mmm (123).

***

Entry 18:
Density functional theory data (SCAN) for CrH18O9F3 at its PBEsol-relaxed geometry.

abc: 6.7051 6.7051 6.7051
angles: 104.78 104.78 104.78
Element x y z (fractional)
Cr 0.0000 0.0000 0.0000
H 0.1018 0.4343 0.2049
H 0.1455 0.7018 0.8082
H 0.1899 0.8522 0.2947
H 0.2049 0.1018 0.4343
H 0.2947 0.1899 0.8522
H 0.3080 0.6731 0.5693
H 0.3212 0.5006 0.6970
H 0.4343 0.2049 0.1018
H 0.5006 0.6970 0.3212
H 0.5680 0.7933 0.8923
H 0.5693 0.3080 0.6731
H 0.6731 0.5693 0.3080
H 0.6970 0.3212 0.5006
H 0.7018 0.8082 0.1455
H 0.7933 0.8923 0.5680
H 0.8082 0.1455 0.7018
H 0.8522 0.2947 0.1899
H 0.8923 0.5680 0.7933
O 0.0192 0.7143 0.8642
O 0.1395 0.9808 0.2863
O 0.2863 0.1395 0.9808
O 0.3306 0.6588 0.7194
O 0.6588 0.7194 0.3306
O 0.7143 0.8642 0.0192
O 0.7194 0.3306 0.6588
O 0.8642 0.0192 0.7143
O 0.9808 0.2863 0.1395
F 0.2706 0.6672 0.3302
F 0.3302 0.2706 0.6672
F 0.6672 0.3302 0.2706

Values from the calculation:
As for the total energy: -188.601 eV/cell. Its space group is R3 (146).

***

Entry 19:
Density functional theory data (SCAN) for La3C3Cl2 at its PBEsol-relaxed geometry.

abc: 7.7026 12.7770 6.8317
angles: 90.00 104.40 90.00
Element x y z (fractional)
La 0.1204 0.1778 0.3698
La 0.1204 0.3222 0.8698
La 0.1933 0.0058 0.8753
La 0.1933 0.4942 0.3753
La 0.2687 0.6498 0.8642
La 0.2687 0.8502 0.3642
La 0.7313 0.1498 0.6358
La 0.7313 0.3502 0.1358
La 0.8067 0.5058 0.6247
La 0.8067 0.9942 0.1247
La 0.8796 0.6778 0.1302
La 0.8796 0.8222 0.6302
C 0.0036 0.6321 0.5278
C 0.0036 0.8679 0.0278
C 0.0602 0.5300 0.9706
C 0.0602 0.9700 0.4706
C 0.1145 0.7046 0.4784
C 0.1145 0.7954 0.9784
C 0.8855 0.2046 0.0216
C 0.8855 0.2954 0.5216
C 0.9398 0.0300 0.5294
C 0.9398 0.4700 0.0294
C 0.9964 0.1321 0.9722
C 0.9964 0.3679 0.4722
Cl 0.3869 0.1856 0.7701
Cl 0.3869 0.3144 0.2701
Cl 0.4490 0.0580 0.2638
Cl 0.4490 0.4420 0.7638
Cl 0.5510 0.5580 0.2362
Cl 0.5510 0.9420 0.7362
Cl 0.6131 0.6856 0.7299
Cl 0.6131 0.8144 0.2299

Values from the calculation:
As for the total energy: -742.711 eV/cell. As for the raw formation energy: -1.2635 eV/atom. Its space group is P2_1/c (14).

***

Entry 20:
Density functional theory data (SCAN) for SnPtW2Se at its PBEsol-relaxed geometry.

abc: 4.6474 4.6474 4.5853
angles: 90.00 90.00 90.00
Element x y z (fractional)
Sn 0.0000 0.0000 0.0000
Pt 0.5000 0.5000 0.0000
W 0.0000 0.5000 0.5000
W 0.5000 0.0000 0.5000
Se 0.5000 0.5000 0.5000

Values from the calculation:
As for the total energy: -258.035 eV/cell. As for the raw formation energy: 1.5067 eV/atom. Its space group is P4/mmm (123).